Model w:
Sr4Pb: optimized geometry, PBE.

Lattice parameters (Å, degrees): 6.5047 6.5047 6.5047 90.00 90.00 90.00
Closest atoms and distances in Å follow each position.
Positions (direct):
1 Sr 0.5000 0.5000 0.0000  2 Pb 3.25
2 Sr 0.0000 0.5000 0.5000  2 Pb 3.25
3 Sr 0.5000 0.0000 0.5000  2 Pb 3.25
4 Sr 0.0000 0.0000 0.0000  12 Sr 4.60
5 Pb 0.5000 0.5000 0.5000  6 Sr 3.25

Values from the calculation:
* density of states at the Fermi level: 5.9 states/eV/cell
* calculated volume: 275.2 Å³/cell


Model x:
Sr4Pb: optimized geometry, PBE.

Lattice parameters (Å, degrees): 6.8898 6.8898 6.8898 109.47 109.47 109.47
Closest atoms and distances in Å follow each position.
Positions (direct):
1 Sr 0.0000 0.0000 0.5000  2 Pb 3.44
2 Sr 0.5000 0.0000 0.0000  2 Pb 3.44
3 Sr 0.0000 0.5000 0.0000  2 Pb 3.44
4 Sr 0.5000 0.5000 0.5000  2 Pb 3.44
5 Pb 0.0000 0.0000 0.0000  8 Sr 3.44

Values from the calculation:
* density of states at the Fermi level: 6.9 states/eV/cell
* calculated volume: 251.8 Å³/cell


What should be chosen as the least stable of them? Choose model x.


Model w:
SrTa3Pb: optimized geometry, PBE.

Lattice parameters (Å, degrees): 5.2738 5.2738 5.2738 90.00 90.00 90.00
Closest atoms and distances in Å follow each position.
Positions (direct):
1 Sr 0.5000 0.5000 0.5000  12 Ta 3.73
2 Ta 0.0000 0.5000 0.0000  2 Pb 2.64
3 Ta 0.0000 0.0000 0.5000  2 Pb 2.64
4 Ta 0.5000 0.0000 0.0000  2 Pb 2.64
5 Pb 0.0000 0.0000 0.0000  6 Ta 2.64

Values from the calculation:
* density of states at the Fermi level: 11.5 states/eV/cell
* calculated volume: 146.7 Å³/cell


Model x:
SrTa3Pb: optimized geometry, PBE.

Lattice parameters (Å, degrees): 4.9826 4.9826 4.9826 90.00 90.00 90.00
Closest atoms and distances in Å follow each position.
Positions (direct):
1 Pb 0.5000 0.5000 0.5000  12 Ta 3.52
2 Ta 0.0000 0.0000 0.5000  2 Sr 2.49
3 Ta 0.0000 0.5000 0.0000  2 Sr 2.49
4 Ta 0.5000 0.0000 0.0000  2 Sr 2.49
5 Sr 0.0000 0.0000 0.0000  6 Ta 2.49

Values from the calculation:
* density of states at the Fermi level: 5.4 states/eV/cell
* calculated volume: 123.7 Å³/cell


What should be chosen as the least stable of them? Choose model x.


Model w:
SrTcPb2: optimized geometry, PBE.

Lattice parameters (Å, degrees): 5.6864 5.6864 3.4993 90.05 90.05 108.82
Closest atoms and distances in Å follow each position.
Positions (direct):
1 Pb 0.5000 0.5000 0.0000  4 Pb 3.31-3.50, 4 Sr 3.34, 4 Tc 3.34
2 Pb 0.0000 0.0000 0.0000  4 Pb 3.31-3.50, 4 Tc 3.34, 4 Sr 3.34
3 Sr 0.5000 0.0000 0.5000  2 Tc 3.31, 8 Pb 3.34, 2 Sr 3.50
4 Tc 0.0000 0.5000 0.5000  2 Sr 3.31, 8 Pb 3.34, 2 Tc 3.50

Values from the calculation:
* density of states at the Fermi level: 3.2 states/eV/cell
* calculated volume: 107.1 Å³/cell


Model x:
SrTcPb2: optimized geometry, PBE.

Lattice parameters (Å, degrees): 9.2629 9.2629 9.2629 23.34 23.34 23.34
Closest atoms and distances in Å follow each position.
Positions (direct):
1 Tc 0.7500 0.7500 0.7500  6 Pb 2.84
2 Pb 0.4847 0.4847 0.4847  3 Tc 2.84
3 Pb 0.0153 0.0153 0.0153  3 Tc 2.84
4 Sr 0.2500 0.2500 0.2500  6 Pb 3.43, 6 Sr 3.75

Values from the calculation:
* density of states at the Fermi level: 1.8 states/eV/cell
* calculated volume: 109.5 Å³/cell


What should be chosen as the least stable of them? Choose model w.


Model w:
SrTcPb2: optimized geometry, PBE.

Lattice parameters (Å, degrees): 4.9817 4.9817 6.8549 64.12 64.12 49.81
Closest atoms and distances in Å follow each position.
Positions (direct):
1 Pb 0.7056 0.7056 0.8313  3 Tc 2.88-3.16, 2 Pb 3.15
2 Pb 0.9479 0.9479 0.1653  3 Tc 2.83-2.93, 2 Pb 3.15
3 Sr 0.5367 0.5367 0.4767  6 Pb 3.28-3.50, 3 Tc 3.31-3.56
4 Tc 0.3098 0.3098 0.0266  6 Pb 2.83-3.16

Values from the calculation:
* density of states at the Fermi level: 3.6 states/eV/cell
* calculated volume: 113.9 Å³/cell


Model x:
SrTcPb2: optimized geometry, PBE.

Lattice parameters (Å, degrees): 6.0667 6.0667 6.0667 135.55 135.55 64.68
Closest atoms and distances in Å follow each position.
Positions (direct):
1 Tc 0.7500 0.2500 0.5000  8 Pb 3.25-3.44, 4 Sr 3.44
2 Sr 0.5000 0.5000 0.0000  8 Pb 3.25-3.44, 4 Tc 3.44
3 Pb 0.0000 0.0000 0.0000  4 Sr 3.25, 4 Pb 3.44, 4 Tc 3.44
4 Pb 0.2500 0.7500 0.5000  4 Tc 3.25, 4 Pb 3.44, 4 Sr 3.44

Values from the calculation:
* density of states at the Fermi level: 2.6 states/eV/cell
* calculated volume: 108.0 Å³/cell


What should be chosen as the least stable of them? Choose model x.


Model w:
SrTcPb2: optimized geometry, PBE.

Lattice parameters (Å, degrees): 7.8444 7.8444 7.8444 154.59 147.05 42.07
Closest atoms and distances in Å follow each position.
Positions (direct):
1 Pb 0.2479 0.7479 0.5000  4 Tc 2.83
2 Pb 0.9215 0.9215 0.0000  2 Tc 2.86
3 Sr 0.5649 0.5649 0.0000  2 Tc 3.41, 2 Sr 3.45, 6 Pb 3.48-3.51
4 Tc 0.7657 0.2657 0.5000  6 Pb 2.83-2.86

Values from the calculation:
* density of states at the Fermi level: 2.9 states/eV/cell
* calculated volume: 112.4 Å³/cell


Model x:
SrTcPb2: optimized geometry, PBE.

Lattice parameters (Å, degrees): 5.3566 5.3566 5.3566 60.00 60.00 60.00
Closest atoms and distances in Å follow each position.
Positions (direct):
1 Pb 0.0000 0.0000 0.0000  4 Tc 3.28, 4 Pb 3.28
2 Pb 0.2500 0.2500 0.2500  4 Pb 3.28, 4 Sr 3.28
3 Sr 0.5000 0.5000 0.5000  4 Pb 3.28, 4 Tc 3.28
4 Tc 0.7500 0.7500 0.7500  4 Sr 3.28, 4 Pb 3.28

Values from the calculation:
* density of states at the Fermi level: 5.6 states/eV/cell
* calculated volume: 108.7 Å³/cell


What should be chosen as the least stable of them? Choose model x.


Model w:
SrTcPb2: optimized geometry, PBE.

Lattice parameters (Å, degrees): 3.5430 3.5434 8.0160 90.00 90.00 90.00
Closest atoms and distances in Å follow each position.
Positions (direct):
1 Pb 0.0000 0.0000 0.5530  4 Tc 2.96, 1 Pb 3.16
2 Pb 0.0000 0.0000 0.9470  4 Tc 2.96, 1 Pb 3.16
3 Sr 0.5000 0.5000 0.2500  8 Pb 3.49, 4 Sr 3.54
4 Tc 0.5000 0.5000 0.7500  8 Pb 2.96

Values from the calculation:
* density of states at the Fermi level: 2.8 states/eV/cell
* calculated volume: 100.6 Å³/cell


Model x:
SrTcPb2: optimized geometry, PBE.

Lattice parameters (Å, degrees): 4.8046 4.8021 4.6543 90.00 90.00 90.00
Closest atoms and distances in Å follow each position.
Positions (direct):
1 Sr 0.5000 0.0000 0.5000  8 Pb 3.34, 4 Tc 3.40
2 Tc 0.0000 0.5000 0.5000  8 Pb 3.34, 4 Sr 3.40
3 Pb 0.5000 0.5000 0.0000  4 Sr 3.34, 4 Tc 3.34, 4 Pb 3.40
4 Pb 0.0000 0.0000 0.0000  4 Tc 3.34, 4 Sr 3.34, 4 Pb 3.40

Values from the calculation:
* density of states at the Fermi level: 4.2 states/eV/cell
* calculated volume: 107.4 Å³/cell


Model y:
SrTcPb2: optimized geometry, PBE.

Lattice parameters (Å, degrees): 6.2537 6.2537 6.2537 147.32 123.29 67.01
Closest atoms and distances in Å follow each position.
Positions (direct):
1 Sr 0.2500 0.7500 0.5000  4 Tc 3.45, 8 Pb 3.50-3.69, 2 Sr 3.52
2 Pb 0.9600 0.9600 0.0000  2 Tc 2.81
3 Pb 0.5400 0.5400 0.0000  2 Tc 2.81
4 Tc 0.7500 0.2500 0.5000  4 Pb 2.81

Values from the calculation:
* density of states at the Fermi level: 3.0 states/eV/cell
* calculated volume: 109.0 Å³/cell


Model z:
SrTcPb2: optimized geometry, PBE.

Lattice parameters (Å, degrees): 5.7720 5.7720 9.5762 72.46 72.46 90.00
Closest atoms and distances in Å follow each position.
Positions (direct):
1 Sr 0.5000 0.5000 0.0000  4 Pb 3.49
2 Sr 0.2500 0.7500 0.5000  4 Pb 3.49
3 Tc 0.7500 0.2500 0.5000  4 Pb 2.66
4 Tc 0.0000 0.0000 0.0000  4 Pb 2.66
5 Pb 0.8750 0.0277 0.7500  2 Tc 2.66
6 Pb 0.9723 0.6250 0.2500  2 Tc 2.66
7 Pb 0.7777 0.1250 0.2500  2 Tc 2.66
8 Pb 0.3750 0.2223 0.7500  2 Tc 2.66

Values from the calculation:
* density of states at the Fermi level: 7.3 states/eV/cell
* calculated volume: 288.6 Å³/cell


What should be chosen as the least stable of them? Choose model z.


Model w:
SrTcPb2: optimized geometry, PBE.

Lattice parameters (Å, degrees): 3.7250 3.7250 7.8977 90.00 90.00 90.00
Closest atoms and distances in Å follow each position.
Positions (direct):
1 Tc 0.5000 0.5000 0.8220  5 Pb 2.80-3.05
2 Pb 0.5000 0.5000 0.2083  1 Tc 3.05, 4 Pb 3.38
3 Pb 0.0000 0.0000 0.9409  4 Tc 2.80
4 Sr 0.0000 0.0000 0.5288  1 Pb 3.25, 4 Tc 3.51

Values from the calculation:
* density of states at the Fermi level: 3.7 states/eV/cell
* calculated volume: 109.6 Å³/cell


Model x:
SrTcPb2: optimized geometry, PBE.

Lattice parameters (Å, degrees): 4.6602 4.6602 6.4517 68.72 68.72 60.17
Closest atoms and distances in Å follow each position.
Positions (direct):
1 Tc 0.2500 0.2500 0.2500  6 Pb 2.86
2 Pb 0.9714 0.9714 0.0864  3 Tc 2.86
3 Pb 0.5286 0.5286 0.4136  3 Tc 2.86
4 Sr 0.7500 0.7500 0.7500  6 Pb 3.34

Values from the calculation:
* density of states at the Fermi level: 3.3 states/eV/cell
* calculated volume: 110.3 Å³/cell


Model y:
SrTcPb2: optimized geometry, PBE.

Lattice parameters (Å, degrees): 5.1677 5.1677 5.1677 60.00 60.00 60.00
Closest atoms and distances in Å follow each position.
Positions (direct):
1 Tc 0.5000 0.5000 0.5000  8 Pb 3.16
2 Pb 0.2500 0.2500 0.2500  4 Tc 3.16, 4 Sr 3.16
3 Pb 0.7500 0.7500 0.7500  4 Tc 3.16, 4 Sr 3.16
4 Sr 0.0000 0.0000 0.0000  8 Pb 3.16

Values from the calculation:
* density of states at the Fermi level: 4.2 states/eV/cell
* calculated volume: 97.6 Å³/cell


What should be chosen as the least stable of them? Choose model y.


Model w:
SrTc3Pb: optimized geometry, PBE.

Lattice parameters (Å, degrees): 5.1703 5.1703 5.1703 90.00 90.00 90.00
Closest atoms and distances in Å follow each position.
Positions (direct):
1 Tc 0.5000 0.0000 0.0000  2 Pb 2.59
2 Tc 0.0000 0.5000 0.0000  2 Pb 2.59
3 Tc 0.0000 0.0000 0.5000  2 Pb 2.59
4 Sr 0.5000 0.5000 0.5000  12 Tc 3.66
5 Pb 0.0000 0.0000 0.0000  6 Tc 2.59

Values from the calculation:
* density of states at the Fermi level: 2.0 states/eV/cell
* calculated volume: 138.2 Å³/cell


Model x:
SrTc3Pb: optimized geometry, PBE.

Lattice parameters (Å, degrees): 4.9783 4.9783 4.9783 90.00 90.00 90.00
Closest atoms and distances in Å follow each position.
Positions (direct):
1 Tc 0.0000 0.5000 0.0000  2 Sr 2.49
2 Tc 0.5000 0.0000 0.0000  2 Sr 2.49
3 Tc 0.0000 0.0000 0.5000  2 Sr 2.49
4 Sr 0.0000 0.0000 0.0000  6 Tc 2.49
5 Pb 0.5000 0.5000 0.5000  12 Tc 3.52

Values from the calculation:
* density of states at the Fermi level: 6.0 states/eV/cell
* calculated volume: 123.4 Å³/cell


What should be chosen as the least stable of them? Choose model x.


Model w:
SrTe2Pb2: optimized geometry, PBE.

Lattice parameters (Å, degrees): 4.4738 4.4738 9.4025 76.24 76.24 90.00
Closest atoms and distances in Å follow each position.
Positions (direct):
1 Te 0.5950 0.5950 0.8100  1 Te 3.36, 4 Pb 3.54, 4 Sr 3.58
2 Te 0.4050 0.4050 0.1900  1 Te 3.36, 4 Pb 3.54, 4 Sr 3.58
3 Pb 0.2500 0.7500 0.5000  4 Pb 3.16, 4 Te 3.54
4 Pb 0.7500 0.2500 0.5000  4 Pb 3.16, 4 Te 3.54
5 Sr 0.0000 0.0000 0.0000  8 Te 3.58

Values from the calculation:
* density of states at the Fermi level: 2.2 states/eV/cell
* calculated volume: 177.2 Å³/cell


Model x:
SrTe2Pb2: optimized geometry, PBE.

Lattice parameters (Å, degrees): 6.2182 6.2182 6.5511 61.67 61.67 90.00
Closest atoms and distances in Å follow each position.
Positions (direct):
1 Te 0.2500 0.7500 0.5000  4 Pb 3.23
2 Te 0.7500 0.2500 0.5000  4 Pb 3.23
3 Pb 0.3410 0.3410 0.3180  1 Pb 3.09, 4 Te 3.23, 1 Sr 3.31
4 Pb 0.6590 0.6590 0.6820  1 Pb 3.09, 4 Te 3.23, 1 Sr 3.31
5 Sr 0.0000 0.0000 0.0000  2 Pb 3.31

Values from the calculation:
* density of states at the Fermi level: 0.1 states/eV/cell
* calculated volume: 187.8 Å³/cell


What should be chosen as the least stable of them? Choose model x.


Model w:
SrTe3Pb: optimized geometry, PBE.

Lattice parameters (Å, degrees): 5.8554 5.8554 5.8554 90.00 90.00 90.00
Closest atoms and distances in Å follow each position.
Positions (direct):
1 Te 0.5000 0.0000 0.0000  2 Pb 2.93
2 Te 0.0000 0.5000 0.0000  2 Pb 2.93
3 Te 0.0000 0.0000 0.5000  2 Pb 2.93
4 Pb 0.0000 0.0000 0.0000  6 Te 2.93
5 Sr 0.5000 0.5000 0.5000  12 Te 4.14

Values from the calculation:
* density of states at the Fermi level: 3.5 states/eV/cell
* calculated volume: 200.8 Å³/cell


Model x:
SrTe3Pb: optimized geometry, PBE.

Lattice parameters (Å, degrees): 6.0684 6.0684 6.0684 90.00 90.00 90.00
Closest atoms and distances in Å follow each position.
Positions (direct):
1 Sr 0.0000 0.0000 0.0000  6 Te 3.03
2 Te 0.0000 0.5000 0.0000  2 Sr 3.03
3 Te 0.5000 0.0000 0.0000  2 Sr 3.03
4 Te 0.0000 0.0000 0.5000  2 Sr 3.03
5 Pb 0.5000 0.5000 0.5000  12 Te 4.29

Values from the calculation:
* density of states at the Fermi level: 12.0 states/eV/cell
* calculated volume: 223.5 Å³/cell


What should be chosen as the least stable of them? Choose model x.


Model w:
Sr2TePb: optimized geometry, PBE.

Lattice parameters (Å, degrees): 8.6410 5.8788 4.0366 89.81 62.44 125.18
Closest atoms and distances in Å follow each position.
Positions (direct):
1 Te 0.0000 0.5000 0.5000  8 Sr 3.56-3.57, 2 Pb 3.83
2 Sr 0.0000 0.0000 0.0000  4 Pb 3.56-3.57, 4 Te 3.56-3.57, 2 Sr 3.83
3 Sr 0.5000 0.0000 0.5000  4 Te 3.56-3.57, 4 Pb 3.56-3.57, 2 Sr 3.83
4 Pb 0.5000 0.5000 0.0000  8 Sr 3.56-3.57, 2 Te 3.83

Values from the calculation:
* density of states at the Fermi level: 1.4 states/eV/cell
* calculated volume: 137.9 Å³/cell


Model x:
Sr2TePb: optimized geometry, PBE.

Lattice parameters (Å, degrees): 7.1318 7.1318 7.1318 140.89 140.89 56.50
Closest atoms and distances in Å follow each position.
Positions (direct):
1 Sr 0.0000 0.0000 0.0000  4 Te 3.38
2 Sr 0.2500 0.7500 0.5000  4 Pb 3.38
3 Te 0.5000 0.5000 0.0000  4 Sr 3.38
4 Pb 0.7500 0.2500 0.5000  4 Sr 3.38

Values from the calculation:
* density of states at the Fermi level: 2.8 states/eV/cell
* calculated volume: 143.2 Å³/cell


Model y:
Sr2TePb: optimized geometry, PBE.

Lattice parameters (Å, degrees): 5.8268 5.8268 5.8268 60.00 60.00 60.00
Closest atoms and distances in Å follow each position.
Positions (direct):
1 Sr 0.7500 0.7500 0.7500  4 Pb 3.57, 4 Te 3.57
2 Sr 0.2500 0.2500 0.2500  4 Pb 3.57, 4 Te 3.57
3 Te 0.0000 0.0000 0.0000  8 Sr 3.57
4 Pb 0.5000 0.5000 0.5000  8 Sr 3.57

Values from the calculation:
* density of states at the Fermi level: 4.3 states/eV/cell
* calculated volume: 139.9 Å³/cell


Model z:
Sr2TePb: optimized geometry, PBE.

Lattice parameters (Å, degrees): 3.9884 3.9917 9.6310 65.53 90.00 90.00
Closest atoms and distances in Å follow each position.
Positions (direct):
1 Sr 0.0000 0.5201 0.4799  4 Te 3.47, 4 Pb 3.68
2 Sr 0.0000 0.9799 0.0201  4 Te 3.47, 4 Pb 3.68
3 Te 0.5000 0.2500 0.2500  8 Sr 3.47
4 Pb 0.5000 0.7500 0.7500  8 Sr 3.68, 4 Pb 3.99

Values from the calculation:
* density of states at the Fermi level: 1.6 states/eV/cell
* calculated volume: 139.6 Å³/cell


What should be chosen as the least stable of them? Choose model y.